Here is crystalline Li3BiSe at its relaxed geometry from Alexandria. Energies are from GGA-PBEsol.

Calculated values
Size of the total moment   0.000 μB/f.u.
Uncorrected formation energy   -53.9 kJ/mol of atoms

```
data_Li3BiSe
_cell_length_a 4.7751
_cell_length_b 4.7751
_cell_length_c 4.7751
_cell_angle_alpha 90.00
_cell_angle_beta 90.00
_cell_angle_gamma 90.00
_symmetry_space_group_name_H-M 'P m -3 m'
_symmetry_Int_Tables_number 221
_symmetry_space_group_name_Hall '-P 4 2 3'
loop_
_atom_site_label
_atom_site_type_symbol
_atom_site_fract_x
_atom_site_fract_y
_atom_site_fract_z
_atom_site_occupancy
Li1 Li 0.0000 0.0000 0.5000 1
Bi1 Bi 0.5000 0.5000 0.5000 1
Se1 Se 0.0000 0.0000 0.0000 1
```